AcCd3Hg GGA-PBE optimized geometry; distance to the lowest polymorph of the same formula = 0 meV/atom; uncorrected energy = -17.027 eV for the cell shown; E_form = -0.272 eV per atom; total magnetic moment = 0.000 Bohr magnetons per cell
1.0
8.8154 0.0000 0.0000
0.0000 7.1182 0.0000
-3.1953 0.0000 4.2668
Ac Cd Hg
2 6 2
Cartesian
0.0000 0.0000 0.0000
4.4077 3.5591 0.0000
-1.5785 2.1557 2.1472
-1.5785 4.9624 2.1472
0.1230 0.0000 3.4183
2.8292 1.4033 2.1472
2.8292 5.7148 2.1472
4.5307 3.5591 3.4183
1.1493 3.5591 0.8922
5.5570 0.0000 0.8922

=====

Ac2CdHg12 GGA-PBE optimized geometry; uncorrected energy = -30.195 eV for the cell shown; E_form = -0.156 eV per atom; total magnetic moment = 0.000 Bohr magnetons per cell
1.0
7.0285 0.0000 0.0000
0.0000 7.0285 0.0000
0.0000 0.0000 17.0662
Ac Cd Hg
4 2 24
Cartesian
1.7571 5.2714 4.1555
1.7571 5.2714 12.9107
5.2714 1.7571 4.1555
5.2714 1.7571 12.9107
1.7571 5.2714 0.0000
5.2714 1.7571 0.0000
7.0268 0.0017 1.5944
0.0017 7.0268 15.4718
0.0017 3.5160 1.5944
7.0268 3.5126 15.4718
0.6749 4.1892 7.3301
0.6749 6.3536 9.7361
1.7571 1.7571 3.2628
1.7571 1.7571 6.0839
1.7571 1.7571 10.9823
1.7571 1.7571 13.8034
2.8393 4.1892 9.7361
2.8393 6.3536 7.3301
3.5126 7.0268 1.5944
3.5160 0.0017 15.4718
3.5160 3.5126 1.5944
3.5126 3.5160 15.4718
4.1892 0.6749 9.7361
4.1892 2.8393 7.3301
5.2714 5.2714 3.2628
5.2714 5.2714 6.0839
5.2714 5.2714 10.9823
5.2714 5.2714 13.8034
6.3536 0.6749 7.3301
6.3536 2.8393 9.7361

=====

Ac7Cd2Hg2 GGA-PBE optimized geometry; uncorrected energy = -31.893 eV for the cell shown; E_form = -0.064 eV per atom; total magnetic moment = 0.000 Bohr magnetons per cell
1.0
4.2326 -6.0997 0.0000
4.2326 6.0997 0.0000
0.0000 0.0000 8.4970
Ac Cd Hg
7 2 2
Cartesian
0.0000 0.0000 0.0000
2.1163 3.0498 2.4270
2.1163 3.0498 6.0700
2.1163 -3.0498 2.4270
2.1163 -3.0498 6.0700
4.2326 0.0000 2.2121
4.2326 0.0000 6.2849
1.4200 0.0000 4.2485
7.0453 0.0000 4.2485
4.2326 2.5460 0.0000
4.2326 -2.5460 0.0000

=====

Ac2Cd3Hg GGA-PBE optimized geometry; uncorrected energy = -13.500 eV for the cell shown; E_form = -0.373 eV per atom; total magnetic moment = 0.000 Bohr magnetons per cell
1.0
3.8582 0.0000 0.0000
0.0000 5.2015 0.0000
0.0000 0.0000 8.8869
Ac Cd Hg
2 3 1
Cartesian
0.0000 0.0000 0.0000
0.0000 2.6007 4.3394
1.9291 0.0000 5.9114
1.9291 2.6007 1.3921
1.9291 2.6007 7.3269
1.9291 0.0000 2.9299

=====

AcCd5Hg3 GGA-PBE optimized geometry; uncorrected energy = -22.053 eV for the cell shown; E_form = -0.160 eV per atom; total magnetic moment = 0.000 Bohr magnetons per cell
1.0
2.3805 -7.4194 0.0000
2.3805 7.4194 0.0000
0.0000 0.0000 13.3443
Ac Cd Hg
2 10 6
Cartesian
2.3805 4.5749 10.0082
2.3805 -4.5749 3.3361
0.0000 0.0000 0.0000
0.0000 0.0000 6.6722
2.3805 4.4996 0.4673
2.3805 4.4996 6.2048
2.3805 1.1941 8.4710
2.3805 1.1941 11.5454
2.3805 -1.1941 1.7989
2.3805 -1.1941 4.8733
2.3805 -4.4996 7.1395
2.3805 -4.4996 12.8770
2.3805 5.3128 3.3361
2.3805 1.6478 1.3205
2.3805 1.6478 5.3516
2.3805 -1.6478 7.9927
2.3805 -1.6478 12.0238
2.3805 -5.3128 10.0082

=====

Ac2Cd2Hg15 GGA-PBE optimized geometry; uncorrected energy = -17.259 eV for the cell shown; E_form = -0.141 eV per atom; total magnetic moment = 0.000 Bohr magnetons per cell
1.0
4.9984 2.8858 5.8863
-4.9984 2.8858 5.8863
0.0000 -5.7716 5.8863
Ac Cd Hg
2 2 15
Cartesian
0.0000 0.0000 3.4731
0.0000 0.0000 14.1858
0.0000 0.0000 7.0684
0.0000 0.0000 10.5905
-2.4992 -1.4429 5.8863
0.0000 -3.2808 5.1116
-2.8412 1.6404 5.1116
-1.4558 -2.5216 8.8295
-2.9117 0.0000 8.8295
-2.8412 -1.6404 12.5473
-2.4992 1.4429 11.7726
1.4558 -2.5216 8.8294
0.0000 2.8858 5.8863
-1.4558 2.5216 8.8294
2.8412 1.6404 5.1116
2.9117 0.0000 8.8294
1.4558 2.5216 8.8294
2.8412 -1.6404 12.5473
0.0000 3.2807 12.5473

=====

Ac5CdHg6 GGA-PBE optimized geometry; uncorrected energy = -28.469 eV for the cell shown; E_form = -0.433 eV per atom; total magnetic moment = 0.013 Bohr magnetons per cell
1.0
2.8389 -8.2921 0.0000
2.8389 8.2921 0.0000
0.0000 0.0000 8.0498
Ac Cd Hg
5 1 6
Cartesian
0.0000 0.0000 0.0000
2.8389 2.9546 0.0000
2.8389 2.5211 4.0249
2.8389 -2.5211 4.0249
2.8389 -2.9546 0.0000
0.0000 0.0000 4.0249
2.8389 5.6073 2.1509
2.8389 5.6073 5.8989
2.8389 0.0000 1.8329
2.8389 0.0000 6.2169
2.8389 -5.6073 2.1509
2.8389 -5.6073 5.8989

=====

AcCd2Hg10 GGA-PBE optimized geometry; uncorrected energy = -10.014 eV for the cell shown; E_form = -0.081 eV per atom; total magnetic moment = 0.000 Bohr magnetons per cell
1.0
0.0000 7.1762 7.2674
3.2299 0.0000 7.2674
3.2299 7.1762 0.0000
Ac Cd Hg
1 2 10
Cartesian
0.0000 0.0000 0.0000
1.6149 0.0000 3.6337
1.6149 7.1762 3.6337
1.6149 3.5881 0.0000
3.2299 4.7049 2.5668
3.2299 5.6551 5.7122
3.2299 9.6475 2.5668
3.2299 8.6974 5.7122
1.6149 3.5881 7.2674
3.2299 5.6551 8.8226
3.2299 4.7049 11.9680
3.2299 8.6974 8.8226
3.2299 9.6475 11.9680

=====

Ac4CdHg5 GGA-PBE optimized geometry; uncorrected energy = -22.799 eV for the cell shown; E_form = -0.394 eV per atom; total magnetic moment = 0.349 Bohr magnetons per cell
1.0
4.0021 0.0000 0.0000
0.0000 4.0021 0.0000
0.0000 0.0000 19.5385
Ac Cd Hg
4 1 5
Cartesian
0.0000 0.0000 2.0597
0.0000 0.0000 6.1288
0.0000 0.0000 13.4096
0.0000 0.0000 17.4787
0.0000 0.0000 9.7692
2.0011 2.0011 0.0000
2.0011 2.0011 4.0717
2.0011 2.0011 8.1272
2.0011 2.0011 11.4113
2.0011 2.0011 15.4667

=====

AcCd3Hg2 GGA-PBE optimized geometry; uncorrected energy = -18.087 eV for the cell shown; E_form = -0.264 eV per atom; total magnetic moment = 0.000 Bohr magnetons per cell
1.0
8.8824 -2.4351 0.0000
8.8824 2.4351 0.0000
-2.8810 0.0000 7.2880
Ac Cd Hg
2 6 4
Cartesian
1.6300 0.0000 1.3804
13.2539 0.0000 5.9076
-0.7537 0.0000 4.9934
5.1976 0.0000 0.5204
5.2260 0.0000 3.5302
9.6579 0.0000 3.7579
9.6863 0.0000 6.7677
15.6376 0.0000 2.2946
2.2587 0.0000 4.8355
8.0683 0.0000 1.2739
6.8157 0.0000 6.0141
12.6253 0.0000 2.4525

=====

AcCdHg GGA-PBE optimized geometry; distance to the lowest polymorph of the same formula = 508 meV/atom; uncorrected energy = -10.061 eV for the cell shown; E_form = 0.098 eV per atom; total magnetic moment = 0.001 Bohr magnetons per cell
1.0
3.6773 0.0000 0.0000
0.0000 3.6773 0.0000
0.0000 0.0000 16.8559
Ac Cd Hg
2 2 2
Cartesian
0.0000 0.0000 0.0000
1.8387 1.8387 8.4279
0.0000 0.0000 6.1986
1.8387 1.8387 14.6265
0.0000 0.0000 3.3099
1.8387 1.8387 11.7378

=====

AcCd7Hg5 GGA-PBE optimized geometry; uncorrected energy = -13.196 eV for the cell shown; E_form = -0.090 eV per atom; total magnetic moment = 0.000 Bohr magnetons per cell
1.0
-3.1202 5.0953 5.0364
3.1202 -5.0953 5.0364
3.1202 5.0953 -5.0364
Ac Cd Hg
1 7 5
Cartesian
0.0000 0.0000 0.0000
3.1202 0.0000 2.1374
3.1202 2.2893 -0.0045
0.0000 0.0000 3.5806
0.0000 3.6362 0.0023
0.0000 6.5545 0.0023
0.0000 0.0000 6.5247
0.0000 2.8060 5.0319
-1.5675 2.5747 7.5246
1.5675 2.5747 7.5246
1.5527 2.5207 2.4882
4.6876 2.5207 2.4882
0.0000 5.0953 3.0773

=====

AcCd4Hg GGA-PBE optimized geometry; distance to the lowest polymorph of the same formula = 71 meV/atom; uncorrected energy = -9.006 eV for the cell shown; E_form = -0.156 eV per atom; total magnetic moment = 0.000 Bohr magnetons per cell
1.0
0.0000 4.3181 4.3181
4.3181 0.0000 4.3181
4.3181 4.3181 0.0000
Ac Cd Hg
1 4 1
Cartesian
0.0000 0.0000 0.0000
3.2429 3.2429 3.2429
5.3934 5.3934 3.2429
5.3934 3.2429 5.3934
3.2429 5.3934 5.3934
6.4772 6.4772 6.4772

=====

Ac8CdHg2 GGA-PBE optimized geometry; uncorrected energy = -36.300 eV for the cell shown; E_form = -0.174 eV per atom; total magnetic moment = 0.000 Bohr magnetons per cell
1.0
10.0980 -2.8459 0.0000
10.0980 2.8459 0.0000
-2.2121 0.0000 7.4911
Ac Cd Hg
8 1 2
Cartesian
-0.0880 0.0000 2.0191
2.1691 0.0000 6.1518
5.5419 0.0000 3.9311
8.1963 0.0000 0.2842
9.7877 0.0000 7.2070
12.4421 0.0000 3.5600
15.8149 0.0000 1.3393
18.0720 0.0000 5.4720
8.9920 0.0000 3.7456
3.1870 0.0000 1.6735
14.7970 0.0000 5.8177

=====

Ac3Cd9Hg2 GGA-PBE optimized geometry; uncorrected energy = -25.250 eV for the cell shown; E_form = -0.292 eV per atom; total magnetic moment = 0.000 Bohr magnetons per cell
1.0
-2.5594 5.0384 7.3547
2.5594 -5.0384 7.3547
2.5594 5.0384 -7.3547
Ac Cd Hg
3 9 2
Cartesian
0.0000 0.0000 0.0000
0.0000 0.0000 4.4041
0.0000 0.0000 10.3053
2.5594 -1.4089 2.3387
2.5594 -2.2145 5.2734
2.5594 1.4089 2.3387
0.0000 2.8239 2.0813
0.0000 5.0384 0.0000
2.5594 2.2145 5.2734
0.0000 3.6295 5.0160
0.0000 7.2528 2.0813
0.0000 6.4473 5.0160
2.5594 3.2160 0.0000
0.0000 1.8224 7.3547

=====

AcCd6Hg2 GGA-PBE optimized geometry; distance to the lowest polymorph of the same formula = 0 meV/atom; uncorrected energy = -11.711 eV for the cell shown; E_form = -0.168 eV per atom; total magnetic moment = 0.000 Bohr magnetons per cell
1.0
4.5480 0.0000 0.0000
0.0000 4.5480 0.0000
0.0000 0.0000 10.8977
Ac Cd Hg
1 6 2
Cartesian
0.0000 0.0000 0.0000
0.0000 0.0000 5.4488
0.0000 2.2740 3.2978
0.0000 2.2740 7.5998
2.2740 0.0000 3.2978
2.2740 0.0000 7.5998
2.2740 2.2740 5.4488
2.2740 2.2740 1.4408
2.2740 2.2740 9.4569

=====

Ac2Cd3Hg9 GGA-PBE optimized geometry; uncorrected energy = -34.146 eV for the cell shown; E_form = -0.242 eV per atom; total magnetic moment = 0.000 Bohr magnetons per cell
1.0
7.6825 -4.3626 0.0000
7.6825 4.3626 0.0000
-5.1573 0.0000 10.8754
Ac Cd Hg
4 6 18
Cartesian
1.2751 0.7470 2.7015
-1.3036 -0.7470 8.1391
11.5112 0.7470 2.7362
8.9325 -0.7470 8.1739
3.8412 2.1813 0.0000
3.7833 2.2927 5.5024
3.8457 2.2927 10.8106
1.2626 -2.1813 5.4377
6.3619 -2.2927 0.0647
6.4244 -2.2927 5.3729
6.3889 3.5852 0.9267
6.3974 3.5852 4.5110
1.2566 0.7252 6.3386
4.6639 1.6588 2.7869
1.2059 0.7360 10.1283
3.8352 -0.7252 0.9009
3.8145 1.0725 8.1565
8.1224 1.6588 2.6508
3.7845 -0.7360 4.6906
6.4231 0.7360 6.1848
2.0852 -1.6588 8.2246
6.3932 -1.0725 2.7188
6.3724 0.7252 9.9744
9.0018 -0.7360 0.7471
5.5438 -1.6588 8.0884
8.9511 -0.7252 4.5368
3.8102 -3.5852 6.3644
3.8187 -3.5852 9.9487

=====

Ac6CdHg2 GGA-PBE optimized geometry; distance to the lowest polymorph of the same formula = 148 meV/atom; uncorrected energy = -26.884 eV for the cell shown; E_form = -0.079 eV per atom; total magnetic moment = 0.000 Bohr magnetons per cell
1.0
8.8322 -3.9632 0.0000
8.8322 3.9632 0.0000
-1.7539 0.0000 5.2944
Ac Cd Hg
6 1 2
Cartesian
5.2913 1.9907 1.7617
8.8322 2.0077 0.0000
10.6192 1.9907 3.5326
5.2913 -1.9907 1.7617
8.8322 -2.0077 0.0000
10.6192 -1.9907 3.5326
7.9552 0.0000 2.6472
2.6568 0.0000 0.8822
13.2537 0.0000 4.4122

=====

AcCd6Hg3 GGA-PBE optimized geometry; uncorrected energy = -23.606 eV for the cell shown; E_form = -0.130 eV per atom; total magnetic moment = 0.000 Bohr magnetons per cell
1.0
9.2670 0.0000 0.0000
0.0000 4.9809 0.0000
-2.1088 0.0000 11.2427
Ac Cd Hg
2 12 6
Cartesian
1.7909 1.2452 0.2575
5.3674 3.7357 10.9852
-0.8925 3.7357 9.1239
0.5444 1.2452 4.4462
0.4095 3.7357 6.1076
1.8588 3.7357 10.1838
3.7858 3.7357 1.8759
2.9571 1.2452 6.3121
4.2011 3.7357 4.9305
3.3724 1.2452 9.3668
5.2995 1.2452 1.0588
6.7488 1.2452 5.1350
6.6139 3.7357 6.7964
8.0507 1.2452 2.1188
0.7013 3.7357 2.3639
0.5047 1.2452 8.0500
3.3912 1.2452 3.4168
3.7671 3.7357 7.8258
6.6536 3.7357 3.1926
6.4570 1.2452 8.8787

=====

AcCd2Hg2 GGA-PBE optimized geometry; distance to the lowest polymorph of the same formula = 0 meV/atom; uncorrected energy = -16.379 eV for the cell shown; E_form = -0.329 eV per atom; total magnetic moment = 0.000 Bohr magnetons per cell
1.0
5.0474 0.0000 0.0000
2.4948 6.0050 0.0000
2.5093 0.7543 8.8120
Ac Cd Hg
2 4 4
Cartesian
2.5118 2.3623 2.5518
7.5397 4.3970 6.2601
2.5190 0.9088 6.0630
5.0193 1.8284 7.7732
5.0322 4.9309 1.0388
7.5325 5.8506 2.7490
5.0190 5.0448 8.4279
5.0077 4.7865 3.9503
5.0438 1.9728 4.8616
5.0325 1.7145 0.3841